Below is a geometry-optimized Cs2P2AuS6 structure, with properties calculated at the PBE level.

abc: 8.3818 8.3818 8.3818
angles: 50.13 50.13 50.13
Element x y z (fractional)
Cs 0.2302 0.2302 0.2302
Cs 0.7698 0.7698 0.7698
P 0.4222 0.4222 0.4222
P 0.5778 0.5778 0.5778
Au 0.0000 0.0000 0.0000
S 0.2508 0.2508 0.7381
S 0.2508 0.7381 0.2508
S 0.2619 0.7492 0.7492
S 0.7381 0.2508 0.2508
S 0.7492 0.2619 0.7492
S 0.7492 0.7492 0.2619

Values from the calculation:
DOS at the Fermi energy: 0.132 states/eV per atom
space group: No. 166
M_tot: 0.00 Bohr magnetons per cell
final energy: -45.92 eV per cell
uncorrected formation energy: -0.49 eV per atom


Below is a geometry-optimized SrTmRu structure, with properties calculated at the PBE level.

abc: 12.7410 12.7410 7.5037
angles: 91.23 91.23 18.92
Element x y z (fractional)
Sr 0.0071 0.0071 0.2440
Sr 0.3764 0.3764 0.4456
Sr 0.6236 0.6236 0.5544
Sr 0.9929 0.9929 0.7560
Tm 0.1431 0.1431 0.9838
Tm 0.2289 0.2289 0.3324
Tm 0.7711 0.7711 0.6676
Tm 0.8569 0.8569 0.0162
Ru 0.2038 0.2038 0.7190
Ru 0.2751 0.2751 0.9950
Ru 0.7249 0.7249 0.0050
Ru 0.7962 0.7962 0.2810

Values from the calculation:
ΔH_f (0 K): 0.05 eV/atom
DOS at the Fermi energy: 1.149 states/eV per atom
space group: No. 12
M_tot: 0.00 Bohr magnetons per cell
final energy: -61.07 eV per cell


Which of these has the lowest DOS at the Fermi energy? Cs2P2AuS6